# HgP2Pt GGA-PBEsol relaxed
# Total moment   0.0 μB per cell
# E_form   478 meV/atom
# Raw total energy   -4.30 eV per atom
data_HgP2Pt
_chemical_formula_sum 'Hg2 P4 Pt2'
_symmetry_space_group_name_H-M 'I -4 m 2'
_symmetry_Int_Tables_number 119
_symmetry_space_group_name_Hall 'I -4 -2'
_cell_length_a 4.053
_cell_length_b 4.053
_cell_length_c 7.988
_cell_angle_alpha 90.00
_cell_angle_beta 90.00
_cell_angle_gamma 90.00
loop_
_atom_site_label
_atom_site_fract_x
_atom_site_fract_y
_atom_site_fract_z
_atom_site_occupancy
Hg1 0.000 0.000 0.000 1
P1 0.000 0.000 0.500 1
P2 0.000 0.500 0.250 1
Pt1 0.000 0.500 0.750 1



# HgP2Pt GGA-PBEsol relaxed
# Total moment   0.0 μB per cell
# E_form   -50 meV/atom
# Raw total energy   -4.83 eV per atom
data_HgP2Pt
_chemical_formula_sum 'Hg1 P2 Pt1'
_symmetry_space_group_name_H-M 'P 1 m 1'
_symmetry_Int_Tables_number 6
_cell_length_a 4.479
_cell_length_b 3.232
_cell_length_c 6.402
_cell_angle_alpha 90.00
_cell_angle_beta 99.74
_cell_angle_gamma 90.00
loop_
_symmetry_equiv_pos_as_xyz
'x,y,z'
'x,-y,z'
loop_
_atom_site_label
_atom_site_fract_x
_atom_site_fract_y
_atom_site_fract_z
_atom_site_occupancy
Hg1 0.000 0.000 0.000 1
P1 0.118 0.000 0.409 1
P2 0.420 0.500 0.540 1
Pt1 0.929 0.500 0.647 1



# HgPPt GGA-PBEsol relaxed
# Total moment   0.0 μB per cell
# E_form   236 meV/atom
# Raw total energy   -4.20 eV per atom
data_HgPPt
_chemical_formula_sum 'Hg4 P4 Pt4'
_symmetry_space_group_name_H-M 'F -4 3 m'
_symmetry_Int_Tables_number 216
_symmetry_space_group_name_Hall 'F -4 2 3'
_cell_length_a 6.030
_cell_length_b 6.030
_cell_length_c 6.030
_cell_angle_alpha 90.00
_cell_angle_beta 90.00
_cell_angle_gamma 90.00
loop_
_atom_site_label
_atom_site_fract_x
_atom_site_fract_y
_atom_site_fract_z
_atom_site_occupancy
Hg1 0.000 0.000 0.000 1
P1 0.250 0.250 0.750 1
Pt1 0.000 0.000 0.500 1



# Hg2PPt GGA-PBEsol relaxed
# Total moment   0.0 μB per cell
# E_form   415 meV/atom
# Raw total energy   -3.06 eV per atom
data_Hg2PPt
_chemical_formula_sum 'Hg8 P4 Pt4'
_symmetry_space_group_name_H-M 'F -4 3 m'
_symmetry_Int_Tables_number 216
_symmetry_space_group_name_Hall 'F -4 2 3'
_cell_length_a 6.598
_cell_length_b 6.598
_cell_length_c 6.598
_cell_angle_alpha 90.00
_cell_angle_beta 90.00
_cell_angle_gamma 90.00
loop_
_atom_site_label
_atom_site_fract_x
_atom_site_fract_y
_atom_site_fract_z
_atom_site_occupancy
Hg1 0.000 0.000 0.000 1
Hg2 0.250 0.250 0.250 1
P1 0.250 0.250 0.750 1
Pt1 0.000 0.000 0.500 1



# HgP2Pt GGA-PBEsol relaxed
# Total moment   0.0 μB per cell
# E_form   244 meV/atom
# Raw total energy   -4.53 eV per atom
data_HgP2Pt
_chemical_formula_sum 'Hg1 P2 Pt1'
_symmetry_space_group_name_H-M 'P 4 m m'
_symmetry_Int_Tables_number 99
_cell_length_a 3.033
_cell_length_b 3.033
_cell_length_c 7.231
_cell_angle_alpha 90.00
_cell_angle_beta 90.00
_cell_angle_gamma 90.00
loop_
_symmetry_equiv_pos_as_xyz
'x,y,z'
'-y,x,z'
'-x,-y,z'
'y,-x,z'
'-x,y,z'
'y,x,z'
'x,-y,z'
'-y,-x,z'
loop_
_atom_site_label
_atom_site_fract_x
_atom_site_fract_y
_atom_site_fract_z
_atom_site_occupancy
Hg1 0.000 0.000 0.000 1
P1 0.000 0.000 0.505 1
P2 0.500 0.500 0.348 1
Pt1 0.500 0.500 0.708 1



# Hg2PPt GGA-PBEsol relaxed
# Total moment   0.0 μB per cell
# E_form   296 meV/atom
# Raw total energy   -3.18 eV per atom
data_Hg2PPt
_chemical_formula_sum 'Hg4 P2 Pt2'
_symmetry_space_group_name_H-M 'C m m m'
_symmetry_Int_Tables_number 65
_symmetry_space_group_name_Hall '-C 2 2'
_cell_length_a 5.513
_cell_length_b 5.636
_cell_length_c 4.840
_cell_angle_alpha 90.00
_cell_angle_beta 90.00
_cell_angle_gamma 90.00
loop_
_atom_site_label
_atom_site_fract_x
_atom_site_fract_y
_atom_site_fract_z
_atom_site_occupancy
Hg1 0.000 0.249 0.000 1
P1 0.000 0.500 0.500 1
Pt1 0.000 0.000 0.500 1